#a
Entry from the Alexandria database: an optimized crystal structure of AcNd2Sm8 (PBE-GGA).

a b c (Å): 9.073 9.073 6.892
angles (deg): 98.29 98.29 44.45
Atoms (fractional coordinates):
Ac 0.000 0.000 0.000
Nd 0.210 0.210 0.790
Nd 0.790 0.790 0.210
Sm 0.177 0.640 0.578
Sm 0.240 0.240 0.293
Sm 0.360 0.823 0.422
Sm 0.410 0.410 0.087
Sm 0.590 0.590 0.913
Sm 0.640 0.177 0.578
Sm 0.760 0.760 0.707
Sm 0.823 0.360 0.422

Total moment   0.0000 μB per atom

=====

#b
Entry from the Alexandria database: an optimized crystal structure of AcNd2Sm8 (PBE-GGA).

a b c (Å): 9.620 9.620 9.620
angles (deg): 145.91 127.65 63.96
Atoms (fractional coordinates):
Ac 0.000 0.000 0.000
Nd 0.300 0.300 0.000
Nd 0.700 0.700 0.000
Sm 0.153 0.856 0.297
Sm 0.159 0.659 0.500
Sm 0.297 0.500 0.797
Sm 0.440 0.144 0.297
Sm 0.560 0.856 0.703
Sm 0.703 0.500 0.203
Sm 0.841 0.341 0.500
Sm 0.847 0.144 0.703

Total moment   0.0000 μB per atom

=====

Of them, #a has the lowest stability.

=====

#a
Entry from the Alexandria database: an optimized crystal structure of Ac4Nd3Sm2 (PBE-GGA).

a b c (Å): 3.818 3.818 28.301
angles (deg): 90.00 90.00 120.00
Atoms (fractional coordinates):
Ac 0.000 0.000 0.000
Ac 0.000 0.000 0.220
Ac 0.333 0.667 0.339
Ac 0.333 0.667 0.560
Nd 0.000 0.000 0.449
Nd 0.333 0.667 0.108
Nd 0.333 0.667 0.773
Sm 0.000 0.000 0.669
Sm 0.000 0.000 0.873

Total moment   0.0005 μB per atom

=====

#b
Entry from the Alexandria database: an optimized crystal structure of Ac4Nd3Sm2 (PBE-GGA).

a b c (Å): 5.439 6.530 11.405
angles (deg): 74.39 89.98 65.47
Atoms (fractional coordinates):
Ac 0.003 0.494 0.332
Ac 0.333 0.833 0.111
Ac 0.667 0.167 0.889
Ac 0.997 0.506 0.668
Nd 0.000 0.500 0.000
Nd 0.334 0.831 0.448
Nd 0.666 0.169 0.552
Sm 0.329 0.841 0.773
Sm 0.671 0.159 0.227

Total moment   0.0000 μB per atom

=====

Of them, #a has the lowest stability.